No. 1
An optimized crystal structure of CsFeB4, computed with PBE.

Output
SG = P6/mmm
Uncorrected energy = -5.6265 eV per atom
Polymorph energy (0 for the lowest one) = 0 kJ/mol of formula units

a = 3.104 Å, b = 3.104 Å, c = 8.512 Å
α = 90.00°, β = 90.00°, γ = 120.00°
Sites, in units of the cell vectors:
Cs1 0.000 0.000 0.000
Fe1 0.000 0.000 0.500
B1 0.333 0.667 0.330
B2 0.333 0.667 0.670
B3 0.667 0.333 0.330
B4 0.667 0.333 0.670

No. 2
An optimized crystal structure of TaFeReGe, computed with PBE.

Output
SG = F-43m
Uncorrected energy = -9.3849 eV per atom
Polymorph energy (0 for the lowest one) = 0 kJ/mol of formula units

a = 4.330 Å, b = 4.330 Å, c = 4.330 Å
α = 60.00°, β = 60.00°, γ = 60.00°
Sites, in units of the cell vectors:
Ta1 0.000 0.000 0.000
Fe1 0.750 0.750 0.750
Re1 0.250 0.250 0.250
Ge1 0.500 0.500 0.500

No. 3
An optimized crystal structure of DyRe3P, computed with PBE.

Output
SG = Pm-3m
Uncorrected energy = -9.0580 eV per atom

a = 4.481 Å, b = 4.481 Å, c = 4.481 Å
α = 90.00°, β = 90.00°, γ = 90.00°
Sites, in units of the cell vectors:
Dy1 0.000 0.000 0.000
Re1 0.000 0.500 0.500
Re2 0.500 0.000 0.500
Re3 0.500 0.500 0.000
P1 0.500 0.500 0.500